[1]
## Tm3Sc2Se6 (PBE-GGA)

Data for a relaxed structure of Tm3Sc2Se6.

```
Tm3Sc2Se6
1.0
6.5849 0.0000 1.9592
3.2925 5.9238 0.9796
0.3761 0.0000 6.7520
Tm Sc Se
3 2 6
direct
0.0000 0.0000 0.0000
0.3347 0.3305 0.0000
0.6653 0.6695 0.0000
0.1643 0.6714 0.5000
0.8357 0.3286 0.5000
0.4207 0.6686 0.7392
0.7507 0.0000 0.7359
0.0893 0.3314 0.7392
0.2493 0.0000 0.2641
0.5793 0.3314 0.2608
0.9107 0.6686 0.2608
```

Summary:
Symmetry: C2/m
Crystal system: monoclinic

---

[2]
## TmScSe2 (PBE-GGA)

Data for a relaxed structure of TmScSe2.

```
TmScSe2
1.0
4.0918 -0.0007 -0.0003
0.0004 6.2377 -0.0002
0.0024 -0.0002 8.8218
Tm Sc Se
2 2 4
direct
0.2006 0.9317 0.7007
0.7014 0.4317 0.5153
0.2013 0.7996 0.2680
0.7008 0.2995 0.9480
0.7013 0.5553 0.2009
0.7004 0.6469 0.7829
0.2014 0.1469 0.4331
0.2007 0.0552 0.0150
```

Summary:
Symmetry: Pmn2_1
Crystal system: orthorhombic

---

[3]
## Tm2ScSe (PBE-GGA)

Data for a relaxed structure of Tm2ScSe.

```
Tm2ScSe
1.0
-0.7502 2.6020 2.2520
2.2176 -1.3969 2.3528
6.0238 4.3932 -3.0694
Sc Tm Se
1 2 1
direct
0.5000 0.5000 0.5000
0.0000 0.0000 0.7806
0.0000 0.0000 0.2194
0.5000 0.5000 0.0000
```

Summary:
Symmetry: P4/mmm
Crystal system: tetragonal

---

[4]
## TmScSe3 (PBE-GGA)

Data for a relaxed structure of TmScSe3.

```
TmScSe3
1.0
7.0103 0.0000 0.0000
0.0000 8.9778 -0.3304
0.0000 -4.3950 9.0868
Tm Sc Se
4 4 12
direct
0.1715 0.3893 0.1024
0.3285 0.8893 0.6024
0.6715 0.1107 0.3976
0.8285 0.6107 0.8976
0.7595 0.6106 0.5282
0.7405 0.1106 0.0282
0.2595 0.8894 0.9718
0.2405 0.3894 0.4718
0.5569 0.3513 0.2999
0.1000 0.6228 0.4010
0.9431 0.8513 0.7999
0.6652 0.8385 0.4552
0.4000 0.1228 0.9010
0.1652 0.6615 0.0448
0.8348 0.3385 0.9552
0.6000 0.8772 0.0990
0.3348 0.1615 0.5448
0.0569 0.1487 0.2001
0.9000 0.3772 0.5990
0.4431 0.6487 0.7001
```

Summary:
Symmetry: P2_1/c
Crystal system: monoclinic

---

[5]
## TmScSe2 (PBE-GGA)

Data for a relaxed structure of TmScSe2.

```
TmScSe2
1.0
-1.3326 -1.6653 -3.1907
0.1887 -3.8127 -0.3971
-6.5695 -2.4346 1.7062
Tm Sc Se
1 1 2
direct
0.4959 0.4959 0.5124
0.6717 0.6717 0.9848
0.0780 0.0780 0.7659
0.2544 0.2544 0.2369
```

Summary:
Symmetry: R3m
Crystal system: trigonal

---

[6]
## TmSc4Se5 (PBE-GGA)

Data for a relaxed structure of TmSc4Se5.

```
TmSc4Se5
1.0
-0.0854 3.7621 1.0655
-3.4203 1.8760 0.2797
-2.3033 -2.4602 15.6797
Tm Sc Se
1 4 5
direct
0.5000 0.5000 0.5000
0.9018 0.9018 0.2946
0.3003 0.3003 0.0990
0.6997 0.6997 0.9010
0.0982 0.0982 0.7054
0.3989 0.3989 0.8033
0.0000 0.0000 0.0000
0.6011 0.6011 0.1967
0.7978 0.7978 0.6067
0.2022 0.2022 0.3933
```

Summary:
Symmetry: R-3m
Crystal system: trigonal

---

[7]
## TmSc3Se6 (PBE-GGA)

Data for a relaxed structure of TmSc3Se6.

```
TmSc3Se6
1.0
3.9073 0.0000 0.0000
0.0000 11.1879 -0.0646
0.0000 -3.8014 10.7045
Tm Sc Se
2 6 12
direct
0.7500 0.0462 0.6978
0.2500 0.9538 0.3022
0.7500 0.4366 0.8357
0.2500 0.5634 0.1643
0.7500 0.6852 0.4979
0.2500 0.3148 0.5021
0.7500 0.1594 0.0858
0.2500 0.8406 0.9142
0.7500 0.4753 0.6151
0.2500 0.5247 0.3849
0.7500 0.9191 0.0936
0.2500 0.0809 0.9064
0.7500 0.3925 0.0607
0.2500 0.6075 0.9393
0.7500 0.7400 0.2720
0.2500 0.2600 0.7280
0.7500 0.1139 0.4672
0.2500 0.8861 0.5328
0.7500 0.8008 0.7487
0.2500 0.1992 0.2513
```

Summary:
Symmetry: P2_1/m
Crystal system: monoclinic

---

[8]
## Tm3Sc2Se6 (PBE-GGA)

Data for a relaxed structure of Tm3Sc2Se6.

```
Tm3Sc2Se6
1.0
-1.2503 -3.5696 1.1440
1.5836 -3.2518 -1.5914
13.9000 -2.5349 14.1060
Tm Sc Se
3 2 6
direct
0.0000 0.0000 0.0000
0.2777 0.2777 0.1669
0.7223 0.7223 0.8331
0.4475 0.4475 0.6574
0.5525 0.5525 0.3426
0.0846 0.0846 0.7462
0.9154 0.9154 0.2538
0.1970 0.1970 0.4090
0.8030 0.8030 0.5910
0.3614 0.3614 0.9158
0.6386 0.6386 0.0842
```

Summary:
Symmetry: R-3m
Crystal system: trigonal

---

[9]
## Tm4ScSe5 (PBE-GGA)

Data for a relaxed structure of Tm4ScSe5.

```
Tm4ScSe5
1.0
-4.8277 -1.5498 2.5205
0.5122 -0.8160 6.8394
-3.9226 5.2843 2.0962
Tm Sc Se
4 1 5
direct
0.4036 0.3998 0.7950
0.8033 0.7950 0.6002
0.1985 0.2050 0.3998
0.5983 0.6002 0.2050
0.0016 0.0000 0.0000
0.9008 0.3939 0.8064
0.2947 0.8064 0.6061
0.7072 0.1936 0.3939
0.1011 0.6061 0.1936
0.5013 0.0000 0.0000
```

Summary:
Symmetry: I4/m
Crystal system: tetragonal

---

[10]
## TmSc4Se5 (PBE-GGA)

Data for a relaxed structure of TmSc4Se5.

```
TmSc4Se5
1.0
3.8377 0.0000 -0.7404
-0.2842 5.3073 -1.4732
0.0051 0.0056 10.3429
Tm Sc Se
1 4 5
direct
0.0000 0.0000 0.0000
0.3995 0.3995 0.7990
0.7975 0.7975 0.5950
0.2025 0.2025 0.4050
0.6005 0.6005 0.2010
0.6040 0.1040 0.2079
0.8007 0.3007 0.6015
0.1993 0.6993 0.3985
0.0000 0.5000 0.0000
0.3960 0.8960 0.7921
```

Summary:
Symmetry: Immm
Crystal system: orthorhombic

---

[11]
## TmSc2Se4 (PBE-GGA)

Data for a relaxed structure of TmSc2Se4.

```
TmSc2Se4
1.0
-3.7713 -0.5428 0.3944
2.2365 -4.8802 -3.9324
2.2180 -7.6212 10.7195
Tm Sc Se
2 4 8
direct
0.6253 0.2507 0.7500
0.3747 0.7493 0.2500
0.1279 0.2557 0.4341
0.8721 0.7443 0.9341
0.1279 0.2557 0.0659
0.8721 0.7443 0.5659
0.7746 0.5493 0.1192
0.7746 0.5493 0.3808
0.2254 0.4507 0.8808
0.2254 0.4507 0.6192
0.9624 0.9248 0.7500
0.0376 0.0752 0.2500
0.5000 0.0000 0.0000
0.5000 0.0000 0.5000
```

Summary:
Symmetry: Cmcm
Crystal system: orthorhombic

---

[12]
## TmSc5Se6 (PBE-GGA)

Data for a relaxed structure of TmSc5Se6.

```
TmSc5Se6
1.0
6.6378 -0.1176 -1.2488
-3.5985 5.5790 -1.2488
0.1341 0.2409 6.7595
Sc Tm Se
5 1 6
direct
0.8379 0.1621 0.5000
0.6666 0.3334 0.0000
0.5000 0.5000 0.5000
0.3334 0.6666 0.0000
0.1621 0.8379 0.5000
0.0000 0.0000 0.0000
0.4245 0.0847 0.2545
0.9153 0.5755 0.7455
0.2562 0.2562 0.7490
0.7438 0.7438 0.2510
0.0847 0.4245 0.2545
0.5755 0.9153 0.7455
```

Summary:
Symmetry: C2/m
Crystal system: monoclinic

---

[13]
## TmSc2Se3 (PBE-GGA)

Data for a relaxed structure of TmSc2Se3.

```
TmSc2Se3
1.0
-2.2128 3.1718 0.7727
-0.2152 -1.4524 5.3456
6.0691 2.2726 -2.0127
Tm Sc Se
1 2 3
direct
0.5000 0.5000 0.5000
0.8413 0.8413 0.1826
0.1587 0.1587 0.8174
0.8264 0.3264 0.1529
0.1736 0.6736 0.8471
0.5000 0.0000 0.5000
```

Summary:
Symmetry: Immm
Crystal system: orthorhombic

---

[14]
## Tm4ScSe5 (PBE-GGA)

Data for a relaxed structure of Tm4ScSe5.

```
Tm4ScSe5
1.0
4.0029 0.0000 0.0000
2.0015 3.4667 0.0000
2.0015 1.1556 16.1796
Tm Sc Se
4 1 5
direct
0.8983 0.8983 0.3050
0.2996 0.2996 0.1012
0.7004 0.7004 0.8988
0.1017 0.1017 0.6950
0.5000 0.5000 0.5000
0.4011 0.4011 0.7968
0.0000 0.0000 0.0000
0.5989 0.5989 0.2032
0.8021 0.8021 0.5938
0.1979 0.1979 0.4062
```

Summary:
Symmetry: R-3m
Crystal system: trigonal

---

[15]
## TmSc2Se4 (PBE-GGA)

Data for a relaxed structure of TmSc2Se4.

```
TmSc2Se4
1.0
8.6868 0.0000 0.0000
0.0000 8.6868 0.0000
0.0000 0.0000 8.8806
Tm Sc Se
4 8 16
direct
0.0000 0.7384 0.5000
0.2616 0.0000 0.7500
0.7384 0.0000 0.2500
0.0000 0.2616 0.0000
0.7573 0.7573 0.8750
0.2427 0.7573 0.1250
0.7573 0.2427 0.6250
0.2427 0.2427 0.3750
0.7388 0.5000 0.2500
0.5000 0.2612 0.0000
0.5000 0.7388 0.5000
0.2612 0.5000 0.7500
0.2541 0.9422 0.4413
0.7459 0.9422 0.5587
0.0578 0.2541 0.6913
0.7459 0.0578 0.9413
0.2555 0.4584 0.0506
0.5416 0.2555 0.3006
0.4584 0.7445 0.8006
0.2555 0.5416 0.4494
0.7445 0.4584 0.9494
0.7445 0.5416 0.5506
0.4584 0.2555 0.6994
0.5416 0.7445 0.1994
0.9422 0.2541 0.3087
0.2541 0.0578 0.0587
0.9422 0.7459 0.1913
0.0578 0.7459 0.8087
```

Summary:
Symmetry: P4_122
Crystal system: tetragonal

---

[16]
## Tm2Sc2Se3 (PBE-GGA)

Data for a relaxed structure of Tm2Sc2Se3.

```
Tm2Sc2Se3
1.0
-3.6971 0.7560 0.1759
-3.2722 -6.3511 -0.9146
-1.7735 -0.7644 6.5742
Tm Sc Se
2 2 3
direct
0.5670 0.1462 0.7198
0.4330 0.8538 0.2802
0.7486 0.3584 0.1444
0.2514 0.6416 0.8556
0.0000 0.0000 0.0000
0.8320 0.7556 0.5805
0.1680 0.2444 0.4195
```

Summary:
Symmetry: C2/m
Crystal system: monoclinic

---

[17]
## Tm2ScSe (PBE-GGA)

Data for a relaxed structure of Tm2ScSe.

```
Tm2ScSe
1.0
-0.2557 2.2550 -2.8018
-2.8138 -0.2239 -2.2435
-6.0368 7.1222 3.9632
Sc Tm Se
1 2 1
direct
0.0000 0.0000 0.0000
0.1049 0.1049 0.6853
0.8951 0.8951 0.3147
0.5000 0.5000 0.5000
```

Summary:
Symmetry: R-3m
Crystal system: trigonal

---

[18]
## TmScSe3 (PBE-GGA)

Data for a relaxed structure of TmScSe3.

```
TmScSe3
1.0
-2.8005 0.4994 2.7761
-2.5240 -6.1049 -1.4478
6.7400 -2.3303 7.2185
Tm Sc Se
2 2 6
direct
0.2500 0.8593 0.3514
0.7500 0.1407 0.6486
0.2500 0.7317 0.9819
0.7500 0.2683 0.0181
0.2500 0.0507 0.8519
0.7500 0.9493 0.1481
0.2500 0.4742 0.1586
0.7500 0.5258 0.8414
0.2500 0.2484 0.4951
0.7500 0.7516 0.5049
```

Summary:
Symmetry: P2_1/m
Crystal system: monoclinic

---

[19]
## TmScSe2 (PBE-GGA)

Data for a relaxed structure of TmScSe2.

```
TmScSe2
1.0
-3.7793 0.6033 -1.0167
-2.7180 -2.7829 0.7405
-3.2896 1.8969 5.6423
Sc Tm Se
1 1 2
direct
0.0000 0.0000 0.0000
0.5000 0.5000 0.5000
0.2533 0.2533 0.2401
0.7467 0.7467 0.7599
```

Summary:
Symmetry: R-3m
Crystal system: trigonal

---

[20]
## TmSc3Se6 (PBE-GGA)

Data for a relaxed structure of TmSc3Se6.

```
TmSc3Se6
1.0
6.0573 0.0000 3.2144
2.1758 5.6531 3.2144
-0.0404 -0.0277 7.3906
Tm Sc Se
1 3 6
direct
0.8472 0.8472 0.4583
0.3444 0.3444 0.9669
0.6575 0.6575 0.0275
0.1557 0.1557 0.5330
0.9359 0.5482 0.2494
0.2665 0.9359 0.2494
0.5482 0.2665 0.2494
0.0624 0.4297 0.7554
0.7526 0.0624 0.7554
0.4297 0.7526 0.7554
```

Summary:
Symmetry: R3
Crystal system: trigonal

---

| no. | M_tot (μB/f.u.) | E (eV per cell) |
| --- | --- | --- |
| 1 | 0.00 | -66.43 |
| 2 | 0.00 | -46.09 |
| 3 | 0.00 | -21.35 |
| 4 | 0.00 | -118.45 |
| 5 | 0.00 | -24.33 |
| 6 | 0.00 | -63.27 |
| 7 | 0.00 | -122.87 |
| 8 | 0.00 | -65.18 |
| 9 | 0.00 | -58.06 |
| 10 | 0.00 | -63.24 |
| 11 | 0.00 | -86.25 |
| 12 | 0.00 | -76.29 |
| 13 | 0.00 | -37.26 |
| 14 | 0.00 | -58.07 |
| 15 | 0.00 | -169.91 |
| 16 | 0.00 | -41.13 |
| 17 | 0.80 | -20.48 |
| 18 | 0.00 | -59.96 |
| 19 | 0.00 | -24.28 |
| 20 | 0.00 | -61.39 |